Here is crystalline Li3InAg at its relaxed geometry from the Alexandria database. Energies are from GGA-PBEsol.

Values from the calculation:
formation energy: 0.096 eV per atom
M_tot: 0.00 μB per formula unit
V: 108.8 Å³/f.u.

Cell and atoms, written as POSCAR:
```
Li3InAg
1.0
4.774 0.000 0.000
0.000 4.774 0.000
0.000 0.000 4.774
Li In Ag
3 1 1
direct
0.000 0.000 0.500 Li
0.000 0.500 0.000 Li
0.500 0.000 0.000 Li
0.500 0.500 0.500 In
0.000 0.000 0.000 Ag
```